(1)
# Li2TaTe meta-GGA SCAN PBEsol geometry
data_Li2TaTe
_space_group_name_H-M_alt 'P 1'
_space_group_IT_number 1
_space_group_name_Hall 'P 1'
_cell_length_a 2.9167
_cell_length_b 2.9167
_cell_length_c 9.1775
_cell_angle_alpha 90.00
_cell_angle_beta 90.00
_cell_angle_gamma 90.00
loop_
_atom_site_label
_atom_site_type_symbol
_atom_site_fract_x
_atom_site_fract_y
_atom_site_fract_z
Te1 Te 0.5000 0.5000 0.5000
Li1 Li 0.0000 0.0000 0.7501
Li2 Li 0.0000 0.0000 0.2499
Ta1 Ta 0.5000 0.5000 0.0000
# - Calculated volume: 78.1 Å³/cell
# - Energy relative to the elements, uncorrected: 1.0 eV per formula unit
# - DOS at the Fermi energy: 0.71 states/eV/atom

(2)
# RbTcRu2Pt meta-GGA SCAN PBEsol geometry
data_RbTcRu2Pt
_space_group_name_H-M_alt 'P 1'
_space_group_IT_number 1
_space_group_name_Hall 'P 1'
_cell_length_a 4.7577
_cell_length_b 4.9225
_cell_length_c 4.9225
_cell_angle_alpha 90.00
_cell_angle_beta 90.00
_cell_angle_gamma 90.00
loop_
_atom_site_label
_atom_site_type_symbol
_atom_site_fract_x
_atom_site_fract_y
_atom_site_fract_z
Ru1 Ru 0.0000 0.0000 0.5000
Ru2 Ru 0.0000 0.5000 0.0000
Rb1 Rb 0.5000 0.5000 0.5000
Tc1 Tc 0.5000 0.0000 0.0000
Pt1 Pt 0.0000 0.0000 0.0000
# - Calculated volume: 115.3 Å³/cell
# - Energy relative to the elements: 163.9 kJ per mole of atoms
# - DOS at the Fermi energy: 1.22 states/eV/atom

(3)
# YMn2Mo meta-GGA SCAN PBEsol geometry
data_YMn2Mo
_space_group_name_H-M_alt 'P 1'
_space_group_IT_number 1
_space_group_name_Hall 'P 1'
_cell_length_a 2.9829
_cell_length_b 4.7408
_cell_length_c 4.9807
_cell_angle_alpha 106.81
_cell_angle_beta 90.00
_cell_angle_gamma 108.34
loop_
_atom_site_label
_atom_site_type_symbol
_atom_site_fract_x
_atom_site_fract_y
_atom_site_fract_z
Mn1 Mn 0.9635 0.9271 0.9011
Mn2 Mn 0.2604 0.5209 0.7707
Mo1 Mo 0.5351 0.0701 0.5846
Y1 Y 0.7410 0.4819 0.2435
# - Calculated volume: 63.7 Å³/cell
# - Energy relative to the elements: 39.2 kJ per mole of atoms
# - DOS at the Fermi energy: 0.90 states/eV/atom

(4)
# CsGe2P2 meta-GGA SCAN PBEsol geometry
data_CsGe2P2
_space_group_name_H-M_alt 'P 1'
_space_group_IT_number 1
_space_group_name_Hall 'P 1'
_cell_length_a 4.5528
_cell_length_b 4.5528
_cell_length_c 7.0051
_cell_angle_alpha 108.96
_cell_angle_beta 108.96
_cell_angle_gamma 90.00
loop_
_atom_site_label
_atom_site_type_symbol
_atom_site_fract_x
_atom_site_fract_y
_atom_site_fract_z
Cs1 Cs 0.0000 0.0000 0.0000
P1 P 0.3295 0.3295 0.6590
P2 P 0.6705 0.6705 0.3410
Ge1 Ge 0.2500 0.7500 0.5000
Ge2 Ge 0.7500 0.2500 0.5000
# - Calculated volume: 129.0 Å³/cell
# - Energy relative to the elements: -13.2 kJ per mole of atoms
# - DOS at the Fermi energy: 0.23 states/eV/atom

(5)
# La2Ag2Ge meta-GGA SCAN PBEsol geometry
data_La2Ag2Ge
_space_group_name_H-M_alt 'P 1'
_space_group_IT_number 1
_space_group_name_Hall 'P 1'
_cell_length_a 3.8397
_cell_length_b 3.8397
_cell_length_c 8.7741
_cell_angle_alpha 102.64
_cell_angle_beta 102.64
_cell_angle_gamma 90.00
loop_
_atom_site_label
_atom_site_type_symbol
_atom_site_fract_x
_atom_site_fract_y
_atom_site_fract_z
Ge1 Ge 0.0000 0.0000 0.0000
Ag1 Ag 0.2500 0.7500 0.5000
Ag2 Ag 0.7500 0.2500 0.5000
La1 La 0.4062 0.4062 0.8124
La2 La 0.5938 0.5938 0.1876
# - Calculated volume: 123.0 Å³/cell
# - Energy relative to the elements: -35.9 kJ per mole of atoms
# - DOS at the Fermi energy: 0.36 states/eV/atom

(6)
# FeP2Pb meta-GGA SCAN PBEsol geometry
data_FeP2Pb
_space_group_name_H-M_alt 'P 1'
_space_group_IT_number 1
_space_group_name_Hall 'P 1'
_cell_length_a 3.9505
_cell_length_b 3.9505
_cell_length_c 5.2784
_cell_angle_alpha 111.98
_cell_angle_beta 111.98
_cell_angle_gamma 90.00
loop_
_atom_site_label
_atom_site_type_symbol
_atom_site_fract_x
_atom_site_fract_y
_atom_site_fract_z
Fe1 Fe 0.2500 0.7500 0.5000
P1 P 0.0000 0.0000 0.0000
P2 P 0.7500 0.2500 0.5000
Pb1 Pb 0.5000 0.5000 0.0000
# - Calculated volume: 69.9 Å³/cell
# - Energy relative to the elements: 81.4 kJ per mole of atoms
# - DOS at the Fermi energy: 0.74 states/eV/atom

(7)
# Zr2Al4Cu meta-GGA SCAN PBEsol geometry
data_Zr2Al4Cu
_space_group_name_H-M_alt 'P 1'
_space_group_IT_number 1
_space_group_name_Hall 'P 1'
_cell_length_a 3.9586
_cell_length_b 6.7296
_cell_length_c 9.4798
_cell_angle_alpha 110.79
_cell_angle_beta 90.00
_cell_angle_gamma 90.00
loop_
_atom_site_label
_atom_site_type_symbol
_atom_site_fract_x
_atom_site_fract_y
_atom_site_fract_z
Al1 Al 0.7500 0.0026 0.6196
Al2 Al 0.2500 0.9974 0.3804
Al3 Al 0.7500 0.6167 0.6195
Al4 Al 0.2500 0.3833 0.3805
Al5 Al 0.7500 0.2534 0.9059
Al6 Al 0.2500 0.7466 0.0941
Al7 Al 0.7500 0.6523 0.9059
Al8 Al 0.2500 0.3477 0.0941
Cu1 Cu 0.2500 0.7643 0.5283
Cu2 Cu 0.7500 0.2357 0.4717
Zr1 Zr 0.7500 0.0742 0.1484
Zr2 Zr 0.2500 0.9258 0.8516
Zr3 Zr 0.7500 0.6447 0.2889
Zr4 Zr 0.2500 0.3553 0.7111
# - Calculated volume: 236.1 Å³/cell
# - Energy relative to the elements: -50.7 kJ per mole of atoms
# - DOS at the Fermi energy: 0.48 states/eV/atom

(8)
# NaBAs2 meta-GGA SCAN PBEsol geometry
data_NaBAs2
_space_group_name_H-M_alt 'P 1'
_space_group_IT_number 1
_space_group_name_Hall 'P 1'
_cell_length_a 5.3063
_cell_length_b 5.3063
_cell_length_c 7.0724
_cell_angle_alpha 112.03
_cell_angle_beta 112.03
_cell_angle_gamma 90.00
loop_
_atom_site_label
_atom_site_type_symbol
_atom_site_fract_x
_atom_site_fract_y
_atom_site_fract_z
Na1 Na 0.2500 0.7500 0.5000
Na2 Na 0.0000 0.0000 0.0000
As1 As 0.7261 0.3750 0.2500
As2 As 0.5239 0.8750 0.2500
As3 As 0.6250 0.4761 0.7500
As4 As 0.1250 0.2739 0.7500
B1 B 0.7500 0.2500 0.5000
B2 B 0.5000 0.5000 0.0000
# - Calculated volume: 168.8 Å³/cell
# - Energy relative to the elements: 17.6 kJ per mole of atoms
# - DOS at the Fermi energy: 0.19 states/eV/atom

(9)
# BaCuRe meta-GGA SCAN PBEsol geometry
data_BaCuRe
_space_group_name_H-M_alt 'P 1'
_space_group_IT_number 1
_space_group_name_Hall 'P 1'
_cell_length_a 4.8174
_cell_length_b 4.8174
_cell_length_c 4.8174
_cell_angle_alpha 60.00
_cell_angle_beta 60.00
_cell_angle_gamma 60.00
loop_
_atom_site_label
_atom_site_type_symbol
_atom_site_fract_x
_atom_site_fract_y
_atom_site_fract_z
Ba1 Ba 0.2500 0.2500 0.2500
Cu1 Cu 0.0000 0.0000 0.0000
Re1 Re 0.5000 0.5000 0.5000
# - Excess energy over the best structure of this formula in the dataset: 397 kJ/mol of formula units
# - Calculated volume: 79.1 Å³/cell
# - Energy relative to the elements: 221.8 kJ per mole of atoms
# - DOS at the Fermi energy: 0.65 states/eV/atom

(10)
# CeYGa2Pd4 meta-GGA SCAN PBEsol geometry
data_CeYGa2Pd4
_space_group_name_H-M_alt 'P 1'
_space_group_IT_number 1
_space_group_name_Hall 'P 1'
_cell_length_a 5.5918
_cell_length_b 7.0251
_cell_length_c 7.3095
_cell_angle_alpha 90.00
_cell_angle_beta 90.00
_cell_angle_gamma 90.00
loop_
_atom_site_label
_atom_site_type_symbol
_atom_site_fract_x
_atom_site_fract_y
_atom_site_fract_z
Ce1 Ce 0.1032 0.5000 0.5328
Ce2 Ce 0.8968 0.5000 0.0328
Y1 Y 0.3996 0.0000 0.4670
Y2 Y 0.6004 0.0000 0.9670
Ga1 Ga 0.4000 0.5000 0.8870
Ga2 Ga 0.6000 0.5000 0.3870
Ga3 Ga 0.1012 0.0000 0.1151
Ga4 Ga 0.8988 0.0000 0.6151
Pd1 Pd 0.6668 0.3021 0.6836
Pd2 Pd 0.3332 0.6979 0.1836
Pd3 Pd 0.8341 0.8010 0.3155
Pd4 Pd 0.1659 0.1990 0.8155
Pd5 Pd 0.8341 0.1990 0.3155
Pd6 Pd 0.1659 0.8010 0.8155
Pd7 Pd 0.6668 0.6979 0.6836
Pd8 Pd 0.3332 0.3021 0.1836
# - Calculated volume: 287.1 Å³/cell
# - Energy relative to the elements: -89.8 kJ per mole of atoms
# - DOS at the Fermi energy: 0.67 states/eV/atom

(11)
# K2RuRh meta-GGA SCAN PBEsol geometry
data_K2RuRh
_space_group_name_H-M_alt 'P 1'
_space_group_IT_number 1
_space_group_name_Hall 'P 1'
_cell_length_a 2.6941
_cell_length_b 5.3388
_cell_length_c 6.0325
_cell_angle_alpha 63.74
_cell_angle_beta 86.60
_cell_angle_gamma 82.30
loop_
_atom_site_label
_atom_site_type_symbol
_atom_site_fract_x
_atom_site_fract_y
_atom_site_fract_z
K1 K 0.0000 0.0000 0.5000
K2 K 0.0000 0.5000 0.5000
Rh1 Rh 0.5000 0.5000 0.0000
Ru1 Ru 0.5000 0.0000 0.0000
# - Excess energy over the best structure of this formula in the dataset: 192 kJ/mol of formula units
# - Calculated volume: 77.1 Å³/cell
# - Energy relative to the elements: 102.9 kJ per mole of atoms
# - DOS at the Fermi energy: 0.75 states/eV/atom

(12)
# BaHfPS2 meta-GGA SCAN PBEsol geometry
data_BaHfPS2
_space_group_name_H-M_alt 'P 1'
_space_group_IT_number 1
_space_group_name_Hall 'P 1'
_cell_length_a 4.7739
_cell_length_b 4.7739
_cell_length_c 7.6199
_cell_angle_alpha 90.00
_cell_angle_beta 90.00
_cell_angle_gamma 90.00
loop_
_atom_site_label
_atom_site_type_symbol
_atom_site_fract_x
_atom_site_fract_y
_atom_site_fract_z
P1 P 0.5000 0.5000 0.5000
S1 S 0.0000 0.5000 0.0000
S2 S 0.5000 0.0000 0.0000
Hf1 Hf 0.0000 0.0000 0.0000
Ba1 Ba 0.0000 0.0000 0.5000
# - Calculated volume: 173.7 Å³/cell
# - Energy relative to the elements, uncorrected: -2.4 eV per formula unit
# - DOS at the Fermi energy: 0.68 states/eV/atom

Energy for every record listed, in sequence, given in eV per atom: -26.90; -37.43; -24.40; -19.49; -33.98; -27.83; -15.90; -12.82; -39.65; -30.46; -20.25; -26.85.